*1*
This record from Alexandria via LeMat-Bulk describes a geometry-optimized K2Tl2As structure. The functional is PBE-GGA.

Properties
The calculation puts the spin magnetization at 0.00 μB per formula unit.

a = 7.898 Å, b = 7.898 Å, c = 5.647 Å
α = 90.00°, β = 90.00°, γ = 90.00°
Sites, in units of the cell vectors:
K (0.184, 0.316, 0.000)
K (0.316, 0.816, 0.000)
K (0.684, 0.184, 0.000)
K (0.816, 0.684, 0.000)
Tl (0.137, 0.637, 0.500)
Tl (0.363, 0.137, 0.500)
Tl (0.637, 0.863, 0.500)
Tl (0.863, 0.363, 0.500)
As (0.000, 0.000, 0.500)
As (0.500, 0.500, 0.500)



*2*
This record from Alexandria via LeMat-Bulk describes a geometry-optimized K2Tl2As structure. The functional is PBE-GGA.

Properties
The calculation puts the spin magnetization at 0.00 μB per formula unit.

a = 7.806 Å, b = 7.806 Å, c = 7.290 Å
α = 103.29°, β = 103.29°, γ = 56.31°
Sites, in units of the cell vectors:
K (0.081, 0.216, 0.139)
K (0.216, 0.081, 0.639)
K (0.784, 0.919, 0.361)
K (0.919, 0.784, 0.861)
Tl (0.320, 0.455, 0.529)
Tl (0.455, 0.320, 0.029)
Tl (0.545, 0.680, 0.971)
Tl (0.680, 0.545, 0.471)
As (0.264, 0.736, 0.250)
As (0.736, 0.264, 0.750)



Relative energies, in eV/atom, with the most stable structure set to zero: *1* 0.104; *2* 0.000.



*1*
This record from Alexandria via LeMat-Bulk describes a geometry-optimized K2VAs2 structure. The functional is PBE-GGA.

Properties
The calculation puts the spin magnetization at 3.08 μB per formula unit.

a = 9.490 Å, b = 9.490 Å, c = 2.973 Å
α = 90.00°, β = 90.00°, γ = 90.00°
Sites, in units of the cell vectors:
K (0.116, 0.384, 0.000)
K (0.384, 0.884, 0.000)
K (0.616, 0.116, 0.000)
K (0.884, 0.616, 0.000)
V (0.000, 0.000, 0.000)
V (0.500, 0.500, 0.000)
As (0.184, 0.684, 0.500)
As (0.316, 0.184, 0.500)
As (0.684, 0.816, 0.500)
As (0.816, 0.316, 0.500)



*2*
This record from Alexandria via LeMat-Bulk describes a geometry-optimized K2VAs2 structure. The functional is PBE-GGA.

Properties
The calculation puts the spin magnetization at 2.97 μB per formula unit.

a = 6.766 Å, b = 6.766 Å, c = 5.550 Å
α = 90.00°, β = 90.00°, γ = 90.00°
Sites, in units of the cell vectors:
K (0.171, 0.329, 0.000)
K (0.329, 0.829, 0.000)
K (0.671, 0.171, 0.000)
K (0.829, 0.671, 0.000)
V (0.000, 0.000, 0.500)
V (0.500, 0.500, 0.500)
As (0.136, 0.636, 0.500)
As (0.364, 0.136, 0.500)
As (0.636, 0.864, 0.500)
As (0.864, 0.364, 0.500)



Relative energies, in eV/atom, with the most stable structure set to zero: *1* 0.764; *2* 0.000.